# DyInAu PBE-GGA relaxed
data_DyInAu
_cell_length_a 7.3662
_cell_length_b 7.3662
_cell_length_c 4.4510
_cell_angle_alpha 90.00
_cell_angle_beta 90.00
_cell_angle_gamma 120.00
_symmetry_space_group_name_H-M 'P 1'
_symmetry_Int_Tables_number 1
loop_
_symmetry_equiv_pos_as_xyz
'x,y,z'
loop_
_atom_site_label
_atom_site_type_symbol
_atom_site_fract_x
_atom_site_fract_y
_atom_site_fract_z
_atom_site_occupancy
Au1 Au 0.2489 0.0000 0.0000 1
Au2 Au 0.0000 0.2489 0.0000 1
Au3 Au 0.7511 0.7511 0.0000 1
Dy1 Dy 0.5700 0.0000 0.5000 1
Dy2 Dy 0.4300 0.4300 0.5000 1
Dy3 Dy 0.0000 0.5700 0.5000 1
In1 In 0.6667 0.3333 0.0000 1
In2 In 0.3333 0.6667 0.0000 1
In3 In 0.0000 0.0000 0.5000 1
# Total moment ... 0.00 μB/cell



# Li2Pr2O5 PBE-GGA relaxed
data_Li2Pr2O5
_cell_length_a 8.3580
_cell_length_b 4.2837
_cell_length_c 4.2837
_cell_angle_alpha 90.00
_cell_angle_beta 90.00
_cell_angle_gamma 90.00
_symmetry_space_group_name_H-M 'P 1'
_symmetry_Int_Tables_number 1
loop_
_symmetry_equiv_pos_as_xyz
'x,y,z'
loop_
_atom_site_label
_atom_site_type_symbol
_atom_site_fract_x
_atom_site_fract_y
_atom_site_fract_z
_atom_site_occupancy
Li1 Li 0.0000 0.0000 0.0000 1
Li2 Li 0.5000 0.0000 0.0000 1
O1 O 0.1342 0.5000 0.0000 1
O2 O 0.8658 0.5000 0.0000 1
O3 O 0.1342 0.0000 0.5000 1
O4 O 0.8658 0.0000 0.5000 1
O5 O 0.5000 0.5000 0.5000 1
Pr1 Pr 0.2267 0.5000 0.5000 1
Pr2 Pr 0.7733 0.5000 0.5000 1
# Total moment ... 2.00 μB/cell



The following is a DFT calculation (PBE-GGA) of crystalline BeTeAu at its relaxed geometry.

Cell and atoms, written as CIF:
```
data_BeTeAu
_cell_length_a 4.5198
_cell_length_b 4.5198
_cell_length_c 4.5198
_cell_angle_alpha 60.00
_cell_angle_beta 60.00
_cell_angle_gamma 60.00
_symmetry_space_group_name_H-M 'P 1'
_symmetry_Int_Tables_number 1
loop_
_symmetry_equiv_pos_as_xyz
'x,y,z'
loop_
_atom_site_label
_atom_site_type_symbol
_atom_site_fract_x
_atom_site_fract_y
_atom_site_fract_z
_atom_site_occupancy
Au1 Au 0.0000 0.0000 0.0000 1
Be1 Be 0.2500 0.2500 0.2500 1
Te1 Te 0.7500 0.7500 0.7500 1
```



# CsTmSn PBE-GGA relaxed
data_CsTmSn
_cell_length_a 5.4528
_cell_length_b 5.4528
_cell_length_c 5.4528
_cell_angle_alpha 60.00
_cell_angle_beta 60.00
_cell_angle_gamma 60.00
_symmetry_space_group_name_H-M 'P 1'
_symmetry_Int_Tables_number 1
loop_
_symmetry_equiv_pos_as_xyz
'x,y,z'
loop_
_atom_site_label
_atom_site_type_symbol
_atom_site_fract_x
_atom_site_fract_y
_atom_site_fract_z
_atom_site_occupancy
Cs1 Cs 0.2500 0.2500 0.2500 1
Sn1 Sn 0.7500 0.7500 0.7500 1
Tm1 Tm 0.0000 0.0000 0.0000 1
# Total moment ... 0.00 μB/cell



Let's list energy in order: -4.0980, -6.1086, -2.9793, -2.8669 eV per atom.